A plane-wave DFT calculation with GGA-PBE was carried out for crystalline CsAc2PtO4 at its relaxed geometry.

The structure belongs to space group Cmcm (No. 63); the cell edges are 3.784, 13.134 and 14.806 Å and the angles 90.00°, 90.00° and 90.00°. The asymmetric unit holds Cs at (0.000, 0.171, 0.250), Ac at (0.000, 0.366, 0.048), Pt at (0.000, 0.084, 0.750), O at (0.000, 0.000, 0.000), O at (0.000, 0.252, 0.578) and O at (0.000, 0.416, 0.250).

Its formation energy without anion corrections is -2.183 eV/atom. Its final energy is -0.2407 hartree per atom.



A plane-wave DFT calculation with GGA-PBE was carried out for crystalline Rb2NaZn2 at its relaxed geometry.

The structure belongs to space group I4/mmm (No. 139); the cell edges are 7.097, 7.097 and 8.954 Å and the angles 90.00°, 90.00° and 90.00°. The asymmetric unit holds Rb at (0.000, 0.500, 0.250), Na at (0.000, 0.000, 0.000) and Zn at (0.000, 0.000, 0.357).

The polymorph energy (0 for the lowest one) is 59 meV per atom. The energy relative to the elements comes out at 17.8 kJ/mol of atoms. Its final energy is -0.0359 hartree per atom.



A plane-wave DFT calculation with GGA-PBE was carried out for crystalline Y2U2C3 at its relaxed geometry.

The structure belongs to space group C2/m (No. 12); the cell edges are 10.497, 3.483 and 6.774 Å and the angles 90.00°, 101.09° and 90.00°. The asymmetric unit holds Y at (0.119, 0.000, 0.370), U at (0.152, 0.500, 0.940), C at (0.000, 0.000, 0.000) and C at (0.235, 0.000, 0.727).

The energy relative to the elements comes out at -9.4 kJ/mol of atoms. Its final energy is -0.3353 hartree per atom.



A plane-wave DFT calculation with GGA-PBE was carried out for crystalline La6TeP2Br3 at its relaxed geometry.

The structure belongs to space group C2/m (No. 12); the cell edges are 19.147, 4.323 and 8.911 Å and the angles 90.00°, 102.90° and 90.00°. The asymmetric unit holds La at (0.017, 0.000, 0.262), La at (0.169, 0.500, 0.122), La at (0.174, 0.500, 0.561), Te at (0.000, 0.500, 0.000), P at (0.172, 0.000, 0.339), Br at (0.000, 0.500, 0.500) and Br at (0.162, 0.000, 0.834).

Its formation energy without anion corrections is -1.533 eV/atom. Its final energy is -0.2050 hartree per atom.



A plane-wave DFT calculation with GGA-PBE was carried out for crystalline YZrIn2 at its relaxed geometry.

The structure belongs to space group I-42d (No. 122); the cell edges are 8.215, 8.215 and 6.297 Å and the angles 90.00°, 90.00° and 90.00°. The asymmetric unit holds Y at (0.000, 0.000, 0.000), Zr at (0.000, 0.000, 0.500) and In at (0.237, 0.750, 0.625).

The energy relative to the elements comes out at 0.0 kJ/mol of atoms. Its final energy is -0.1882 hartree per atom.



A plane-wave DFT calculation with GGA-PBE was carried out for crystalline MoPt2 at its relaxed geometry.

The structure belongs to space group Cmcm (No. 63); the cell edges are 2.778, 14.708 and 4.538 Å and the angles 90.00°, 90.00° and 90.00°. The asymmetric unit holds Mo at (0.000, 0.114, 0.250), Pt at (0.000, 0.221, 0.750) and Pt at (0.000, 0.448, 0.250).

The polymorph energy (0 for the lowest one) is 25 meV per atom. The energy relative to the elements comes out at -34.2 kJ/mol of atoms. Its final energy is -0.2937 hartree per atom.



A plane-wave DFT calculation with GGA-PBE was carried out for crystalline TaTiMn at its relaxed geometry.

The structure belongs to space group C2/c (No. 15); the cell edges are 8.299, 8.383 and 7.203 Å and the angles 90.00°, 125.07° and 90.00°. The asymmetric unit holds Ta at (0.126, 0.125, 0.003), Ti at (0.123, 0.375, 0.497) and Mn at (0.247, 0.125, 0.750).

The polymorph energy (0 for the lowest one) is 409 meV per atom. The energy relative to the elements comes out at 24.1 kJ/mol of atoms. Its final energy is -0.3451 hartree per atom.



A plane-wave DFT calculation with GGA-PBE was carried out for crystalline MnCoSn2Cl at its relaxed geometry.

The structure belongs to space group P4/mmm (No. 123); the cell edges are 5.193, 5.193 and 4.475 Å and the angles 90.00°, 90.00° and 90.00°. The asymmetric unit holds Mn at (0.000, 0.000, 0.000), Co at (0.500, 0.500, 0.500), Sn at (0.000, 0.500, 0.000) and Cl at (0.000, 0.000, 0.500).

Its formation energy without anion corrections is 0.663 eV/atom. Its final energy is -0.1677 hartree per atom.